12
Lattice="4.1162 0.0000 0.0000 0.0000 8.9280 -0.1259 -2.0581 -3.0399 9.0910" Properties=species:S:1:pos:R:3 comment="Dy6TlTe3Rh2 PBE-GGA relaxed" crystal_system=monoclinic spacegroup="C2/m, No. 12" e_form_raw_ev_per_atom=-0.945 pbc="T T T"
Dy 0.0000 5.9434 5.8713
Dy 2.0581 3.8347 3.2427
Dy 2.0581 -0.0553 3.0938
Dy 0.0000 2.2595 0.1430
Dy 2.0581 3.6286 8.8221
Dy 0.0000 2.0534 5.7224
Tl 2.0581 0.0000 0.0000
Te 2.0581 4.4640 -0.0629
Te 2.0581 -0.5172 6.1110
Te 0.0000 6.4053 2.8541
Rh 2.0581 4.0104 6.0354
Rh 0.0000 1.8777 2.9297



4
Lattice="4.7392 0.0000 0.0000 2.3696 4.1043 0.0000 2.3696 1.3681 3.8695" Properties=species:S:1:pos:R:3 comment="BeTl2Os PBE-GGA relaxed" crystal_system=cubic e_above_lowest_polymorph_mev_per_atom=773.2 spacegroup="F-43m, No. 216" ef_ev_per_atom=1.1974 pbc="T T T"
Be 4.7392 2.7362 1.9348
Tl 0.0000 0.0000 0.0000
Tl 2.3696 1.3681 0.9674
Os 7.1088 4.1043 2.9021



4
Lattice="2.4030 -3.6704 1.9641 -2.0283 -2.6065 3.4922 -1.3852 -4.5197 -0.8700" Properties=species:S:1:pos:R:3 comment="BSCl2 PBE-GGA relaxed" crystal_system=cubic e_above_lowest_polymorph_mev_per_atom=1056.7 spacegroup="Fm-3m, No. 225" e_form_raw_ev_per_atom=1.554 pbc="T T T"
S -0.5053 -5.3983 2.2932
B 0.0000 0.0000 0.0000
Cl -0.2526 -2.6991 1.1466
Cl -0.7579 -8.0974 3.4397